{
  "formula": "BaLa2Si",
  "functional": "GGA-PBE",
  "state": "optimized geometry",
  "dos_ef_per_ev_atom": 1.06,
  "spacegroup": "R-3m, No. 166",
  "dft_energy_ev_per_atom": -4.52,
  "e_form_raw_kcal_per_mol_atoms": -5.1,
  "lattice_angstrom": [[2.155, 1.244, 10.549], [-2.155, 1.244, 10.549], [0.000, -2.489, 10.549]],
  "species": ["Ba", "La", "La", "Si"],
  "frac_coords": [[0.000, 0.000, 0.000], [0.219, 0.219, 0.219], [0.781, 0.781, 0.781], [0.500, 0.500, 0.500]]
}